4
Lattice="0.000 2.730 2.730 2.730 0.000 2.730 2.730 2.730 0.000" Properties=species:S:1:pos:R:3 comment="ZnFeNiB | the Open Quantum Materials Database | PBE-GGA | optimized geometry" relative_energy_mev_per_atom=135 space_group="F-43m (216)" pbc="T T T"
Zn 0.000 0.000 0.000
Fe 2.730 2.730 2.730
Ni 1.365 1.365 1.365
B 4.096 4.096 4.096

4
Lattice="0.000 2.708 2.708 2.708 0.000 2.708 2.708 2.708 0.000" Properties=species:S:1:pos:R:3 comment="ZnFeNiB | the Open Quantum Materials Database | PBE-GGA | optimized geometry" relative_energy_mev_per_atom=0 space_group="F-43m (216)" pbc="T T T"
Zn 0.000 0.000 0.000
Fe 4.062 4.062 4.062
Ni 1.354 1.354 1.354
B 2.708 2.708 2.708

4
Lattice="0.000 2.737 2.737 2.737 0.000 2.737 2.737 2.737 0.000" Properties=species:S:1:pos:R:3 comment="ZnFeNiB | the Open Quantum Materials Database | PBE-GGA | optimized geometry" relative_energy_mev_per_atom=232 space_group="F-43m (216)" pbc="T T T"
Zn 0.000 0.000 0.000
Fe 1.368 1.368 1.368
Ni 2.737 2.737 2.737
B 4.105 4.105 4.105

3
Lattice="0.000 2.744 2.744 2.744 0.000 2.744 2.744 2.744 0.000" Properties=species:S:1:pos:R:3 comment="NpFeB | the Open Quantum Materials Database | PBE-GGA | optimized geometry" relative_energy_mev_per_atom=0 space_group="F-43m (216)" pbc="T T T"
Np 0.000 0.000 0.000
Fe 2.744 2.744 2.744
B 4.116 4.116 4.116

3
Lattice="0.000 2.822 2.822 2.822 0.000 2.822 2.822 2.822 0.000" Properties=species:S:1:pos:R:3 comment="NpFeB | the Open Quantum Materials Database | PBE-GGA | optimized geometry" relative_energy_mev_per_atom=169 space_group="F-43m (216)" pbc="T T T"
Np 0.000 0.000 0.000
Fe 1.411 1.411 1.411
B 2.822 2.822 2.822

3
Lattice="0.000 2.612 2.612 2.612 0.000 2.612 2.612 2.612 0.000" Properties=species:S:1:pos:R:3 comment="FeBOs | the Open Quantum Materials Database | PBE-GGA | optimized geometry" space_group="F-43m (216)" energy_ev_per_cell=-24.65 pbc="T T T"
Fe 0.000 0.000 0.000
B 3.918 3.918 3.918
Os 1.306 1.306 1.306

4
Lattice="0.000 2.905 2.905 2.905 0.000 2.905 2.905 2.905 0.000" Properties=species:S:1:pos:R:3 comment="FeBOs2 | the Open Quantum Materials Database | PBE-GGA | optimized geometry" space_group="F-43m (216)" energy_ev_per_cell=-34.42 pbc="T T T"
Fe 0.000 0.000 0.000
B 4.358 4.358 4.358
Os 1.453 1.453 1.453
Os 2.905 2.905 2.905

4
Lattice="0.000 2.900 2.900 2.900 0.000 2.900 2.900 2.900 0.000" Properties=species:S:1:pos:R:3 comment="FeBOsPd | the Open Quantum Materials Database | PBE-GGA | optimized geometry" relative_energy_mev_per_atom=0 space_group="F-43m (216)" pbc="T T T"
Fe 0.000 0.000 0.000
B 4.350 4.350 4.350
Os 2.900 2.900 2.900
Pd 1.450 1.450 1.450

4
Lattice="0.000 2.925 2.925 2.925 0.000 2.925 2.925 2.925 0.000" Properties=species:S:1:pos:R:3 comment="FeBOsPt | the Open Quantum Materials Database | PBE-GGA | optimized geometry" relative_energy_mev_per_atom=0 space_group="F-43m (216)" pbc="T T T"
Fe 0.000 0.000 0.000
B 4.388 4.388 4.388
Os 2.925 2.925 2.925
Pt 1.463 1.463 1.463

4
Lattice="0.000 2.898 2.898 2.898 0.000 2.898 2.898 2.898 0.000" Properties=species:S:1:pos:R:3 comment="FeReBOs | the Open Quantum Materials Database | PBE-GGA | optimized geometry" relative_energy_mev_per_atom=0 space_group="F-43m (216)" pbc="T T T"
Fe 0.000 0.000 0.000
Re 1.449 1.449 1.449
B 4.347 4.347 4.347
Os 2.898 2.898 2.898

4
Lattice="0.000 3.140 3.140 3.140 0.000 3.140 3.140 3.140 0.000" Properties=species:S:1:pos:R:3 comment="YFeBOs | the Open Quantum Materials Database | PBE-GGA | optimized geometry" relative_energy_mev_per_atom=0 space_group="F-43m (216)" pbc="T T T"
Y 0.000 0.000 0.000
Fe 3.140 3.140 3.140
B 1.570 1.570 1.570
Os 4.710 4.710 4.710

4
Lattice="0.000 3.052 3.052 3.052 0.000 3.052 3.052 3.052 0.000" Properties=species:S:1:pos:R:3 comment="YFeBOs | the Open Quantum Materials Database | PBE-GGA | optimized geometry" relative_energy_mev_per_atom=44 space_group="F-43m (216)" pbc="T T T"
Y 0.000 0.000 0.000
Fe 4.578 4.578 4.578
B 3.052 3.052 3.052
Os 1.526 1.526 1.526